## Hf2VGeO (GGA+U)

Data for Hf2VGeO after structural relaxation.

Cell: 5.1415 3.7745 5.1415 Å, 90.00 90.00 90.00°
Fractional coordinates of all 5 atoms:
O1 0.0000 0.5000 0.0000
Hf1 0.5000 0.0000 0.0000
Hf2 0.0000 0.0000 0.5000
V1 0.5000 0.5000 0.5000
Ge1 0.0000 0.0000 0.0000

Output
Total magnetic moment: 0.00 μB per atom
VASP energy: -6.47 eV per atom
Calculated density: 8.3 g/cm³
SG: P4/mmm